First-principles (PBE) data for Al3BO6 after structural relaxation, as listed in Alexandria via LeMat-Bulk.

```
data_Al3BO6
_chemical_formula_sum 'Al6 B2 O12'
_cell_length_a 6.2766
_cell_length_b 6.2766
_cell_length_c 4.5264
_cell_angle_alpha 90.00
_cell_angle_beta 90.00
_cell_angle_gamma 105.81
_symmetry_space_group_name_H-M 'P 1'
_symmetry_Int_Tables_number 1
_symmetry_space_group_name_Hall 'P 1'
loop_
_atom_site_label
_atom_site_type_symbol
_atom_site_fract_x
_atom_site_fract_y
_atom_site_fract_z
_atom_site_occupancy
Al1 Al 0.0857 0.9143 0.5000 1
Al2 Al 0.1918 0.4188 0.4148 1
Al3 Al 0.4188 0.1918 0.9148 1
Al4 Al 0.5812 0.8082 0.4148 1
Al5 Al 0.8082 0.5812 0.9148 1
Al6 Al 0.9143 0.0857 0.0000 1
B1 B 0.2988 0.7012 0.8408 1
B2 B 0.7012 0.2988 0.3408 1
O1 O 0.0697 0.6291 0.7058 1
O2 O 0.1304 0.2023 0.7137 1
O3 O 0.2023 0.1304 0.2137 1
O4 O 0.3174 0.6826 0.1583 1
O5 O 0.3709 0.9303 0.7058 1
O6 O 0.4229 0.5771 0.6590 1
O7 O 0.5771 0.4229 0.1590 1
O8 O 0.6291 0.0697 0.2058 1
O9 O 0.6826 0.3174 0.6583 1
O10 O 0.7977 0.8696 0.7137 1
O11 O 0.8696 0.7977 0.2137 1
O12 O 0.9303 0.3709 0.2058 1
```

symmetry	Cmc2_1, No. 36


First-principles (PBE) data for AlB2O after structural relaxation, as listed in Alexandria via LeMat-Bulk.

```
data_AlB2O
_chemical_formula_sum 'Al1 B2 O1'
_cell_length_a 3.8399
_cell_length_b 3.8399
_cell_length_c 3.8399
_cell_angle_alpha 60.00
_cell_angle_beta 60.00
_cell_angle_gamma 60.00
_symmetry_space_group_name_H-M 'P 1'
_symmetry_Int_Tables_number 1
_symmetry_space_group_name_Hall 'P 1'
loop_
_atom_site_label
_atom_site_type_symbol
_atom_site_fract_x
_atom_site_fract_y
_atom_site_fract_z
_atom_site_occupancy
Al1 Al 0.0000 0.0000 0.0000 1
B1 B 0.2500 0.2500 0.2500 1
B2 B 0.7500 0.7500 0.7500 1
O1 O 0.5000 0.5000 0.5000 1
```

symmetry	Fm-3m, No. 225


First-principles (PBE) data for AlB2O2 after structural relaxation, as listed in Alexandria via LeMat-Bulk.

```
data_AlB2O2
_chemical_formula_sum 'Al1 B2 O2'
_cell_length_a 4.0208
_cell_length_b 4.0208
_cell_length_c 4.0208
_cell_angle_alpha 121.44
_cell_angle_beta 121.44
_cell_angle_gamma 87.52
_symmetry_space_group_name_H-M 'P 1'
_symmetry_Int_Tables_number 1
_symmetry_space_group_name_Hall 'P 1'
loop_
_atom_site_label
_atom_site_type_symbol
_atom_site_fract_x
_atom_site_fract_y
_atom_site_fract_z
_atom_site_occupancy
Al1 Al 0.0000 0.0000 0.0000 1
B1 B 0.3532 0.3532 0.0000 1
B2 B 0.6468 0.6468 0.0000 1
O1 O 0.2500 0.7500 0.5000 1
O2 O 0.7500 0.2500 0.5000 1
```

symmetry	I4/mmm, No. 139


First-principles (PBE) data for AlBO2 after structural relaxation, as listed in Alexandria via LeMat-Bulk.

```
data_AlBO2
_chemical_formula_sum 'Al1 B1 O2'
_cell_length_a 3.6500
_cell_length_b 3.6500
_cell_length_c 3.6500
_cell_angle_alpha 60.00
_cell_angle_beta 60.00
_cell_angle_gamma 60.00
_symmetry_space_group_name_H-M 'P 1'
_symmetry_Int_Tables_number 1
_symmetry_space_group_name_Hall 'P 1'
loop_
_atom_site_label
_atom_site_type_symbol
_atom_site_fract_x
_atom_site_fract_y
_atom_site_fract_z
_atom_site_occupancy
Al1 Al 0.0000 0.0000 0.0000 1
B1 B 0.5000 0.5000 0.5000 1
O1 O 0.2500 0.2500 0.2500 1
O2 O 0.7500 0.7500 0.7500 1
```

symmetry	Fm-3m, No. 225


First-principles (PBE) data for AlBO2 after structural relaxation, as listed in Alexandria via LeMat-Bulk.

```
data_AlBO2
_chemical_formula_sum 'Al2 B2 O4'
_cell_length_a 5.4083
_cell_length_b 5.4083
_cell_length_c 5.4083
_cell_angle_alpha 126.85
_cell_angle_beta 126.85
_cell_angle_gamma 78.49
_symmetry_space_group_name_H-M 'P 1'
_symmetry_Int_Tables_number 1
_symmetry_space_group_name_Hall 'P 1'
loop_
_atom_site_label
_atom_site_type_symbol
_atom_site_fract_x
_atom_site_fract_y
_atom_site_fract_z
_atom_site_occupancy
Al1 Al 0.0000 0.0000 0.0000 1
Al2 Al 0.7500 0.2500 0.5000 1
B1 B 0.2500 0.7500 0.5000 1
B2 B 0.5000 0.5000 0.0000 1
O1 O 0.0366 0.6250 0.9116 1
O2 O 0.3750 0.2866 0.4116 1
O3 O 0.7134 0.1250 0.0884 1
O4 O 0.8750 0.9634 0.5884 1
```

symmetry	I-42d, No. 122


First-principles (PBE) data for AlBO2 after structural relaxation, as listed in Alexandria via LeMat-Bulk.

```
data_AlBO2
_chemical_formula_sum 'Al1 B1 O2'
_cell_length_a 5.4094
_cell_length_b 5.4094
_cell_length_c 5.4094
_cell_angle_alpha 29.22
_cell_angle_beta 29.22
_cell_angle_gamma 29.22
_symmetry_space_group_name_H-M 'P 1'
_symmetry_Int_Tables_number 1
_symmetry_space_group_name_Hall 'P 1'
loop_
_atom_site_label
_atom_site_type_symbol
_atom_site_fract_x
_atom_site_fract_y
_atom_site_fract_z
_atom_site_occupancy
Al1 Al 0.0000 0.0000 0.0000 1
B1 B 0.5000 0.5000 0.5000 1
O1 O 0.3977 0.3977 0.3977 1
O2 O 0.6023 0.6023 0.6023 1
```

symmetry	R-3m, No. 166


First-principles (PBE) data for Al2BO4 after structural relaxation, as listed in Alexandria via LeMat-Bulk.

```
data_Al2BO4
_chemical_formula_sum 'Al2 B1 O4'
_cell_length_a 4.7016
_cell_length_b 4.7016
_cell_length_c 4.7016
_cell_angle_alpha 120.28
_cell_angle_beta 120.28
_cell_angle_gamma 89.51
_symmetry_space_group_name_H-M 'P 1'
_symmetry_Int_Tables_number 1
_symmetry_space_group_name_Hall 'P 1'
loop_
_atom_site_label
_atom_site_type_symbol
_atom_site_fract_x
_atom_site_fract_y
_atom_site_fract_z
_atom_site_occupancy
Al1 Al 0.2500 0.7500 0.5000 1
Al2 Al 0.7500 0.2500 0.5000 1
B1 B 0.0000 0.0000 0.0000 1
O1 O 0.0530 0.6855 0.0000 1
O2 O 0.3145 0.3145 0.3675 1
O3 O 0.6855 0.0530 0.0000 1
O4 O 0.9470 0.9470 0.6325 1
```

symmetry	I-42m, No. 121


First-principles (PBE) data for Al3BO after structural relaxation, as listed in Alexandria via LeMat-Bulk.

```
data_Al3BO
_chemical_formula_sum 'Al3 B1 O1'
_cell_length_a 4.0864
_cell_length_b 4.0864
_cell_length_c 4.0864
_cell_angle_alpha 90.00
_cell_angle_beta 90.00
_cell_angle_gamma 90.00
_symmetry_space_group_name_H-M 'P 1'
_symmetry_Int_Tables_number 1
_symmetry_space_group_name_Hall 'P 1'
loop_
_atom_site_label
_atom_site_type_symbol
_atom_site_fract_x
_atom_site_fract_y
_atom_site_fract_z
_atom_site_occupancy
Al1 Al 0.0000 0.0000 0.5000 1
Al2 Al 0.0000 0.5000 0.0000 1
Al3 Al 0.5000 0.0000 0.0000 1
B1 B 0.0000 0.0000 0.0000 1
O1 O 0.5000 0.5000 0.5000 1
```

symmetry	Pm-3m, No. 221


First-principles (PBE) data for AlB2O after structural relaxation, as listed in Alexandria via LeMat-Bulk.

```
data_AlB2O
_chemical_formula_sum 'Al2 B4 O2'
_cell_length_a 5.8777
_cell_length_b 5.8777
_cell_length_c 5.8777
_cell_angle_alpha 142.01
_cell_angle_beta 142.01
_cell_angle_gamma 54.82
_symmetry_space_group_name_H-M 'P 1'
_symmetry_Int_Tables_number 1
_symmetry_space_group_name_Hall 'P 1'
loop_
_atom_site_label
_atom_site_type_symbol
_atom_site_fract_x
_atom_site_fract_y
_atom_site_fract_z
_atom_site_occupancy
Al1 Al 0.0000 0.0000 0.0000 1
Al2 Al 0.7500 0.2500 0.5000 1
B1 B 0.2958 0.6250 0.1708 1
B2 B 0.3750 0.5458 0.6708 1
B3 B 0.4542 0.1250 0.8292 1
B4 B 0.8750 0.7042 0.3292 1
O1 O 0.2500 0.7500 0.5000 1
O2 O 0.5000 0.5000 0.0000 1
```

symmetry	I-42d, No. 122


Which energy relative to the elements, uncorrected belongs to each record? In order, -2678 1488 244 0 -885 -1444 -2290 207 300 meV/atom.